The following is a PBE calculation of YIrOs2 after structural relaxation, from Alexandria via LeMat-Bulk.

The structure in CIF format:
```
data_YIrOs2
_cell_length_a 3.994
_cell_length_b 3.994
_cell_length_c 4.203
_cell_angle_alpha 90.00
_cell_angle_beta 90.00
_cell_angle_gamma 90.00
_space_group_name_H-M_alt 'P 4/m m m'
_space_group_IT_number 123
_space_group_name_Hall '-P 4 2'
loop_
_atom_site_label
_atom_site_fract_x
_atom_site_fract_y
_atom_site_fract_z
Y1 0.000 0.000 0.000
Ir1 0.500 0.500 0.000
Os1 0.000 0.500 0.500
```

Properties
- Spin magnetization: 0.00 μB per formula unit
- E above lowest polymorph: 118 meV per atom
- ΔE_f: 0.166 eV per atom